DFT (GGA-PBEsol) results for a geometry-optimized Ga3SbP structure.

Properties
Symmetry: Pm-3m, No. 221
Magnetic moment (μB/cell): 0.00
Energy relative to the elements, uncorrected (eV per atom): 0.184

Structure (POSCAR):
```
Ga3SbP
1.0
4.7526 0.0000 0.0000
0.0000 4.7526 0.0000
0.0000 0.0000 4.7526
Ga Sb P
3 1 1
direct
0.0000 0.0000 0.5000
0.0000 0.5000 0.0000
0.5000 0.0000 0.0000
0.5000 0.5000 0.5000
0.0000 0.0000 0.0000
```



DFT (GGA-PBEsol) results for a geometry-optimized Cd2AgHg structure.

Properties
Symmetry: Pmmm, No. 47
Magnetic moment (μB/cell): 0.00
ΔH_f (0 K) (meV per atom): -24.2

Structure (POSCAR):
```
Cd2AgHg
1.0
3.2889 0.0000 0.0000
0.0000 3.9597 0.0000
0.0000 0.0000 6.0153
Cd Ag Hg
2 1 1
direct
0.0000 0.0000 0.2397
0.0000 0.0000 0.7603
0.5000 0.5000 0.0000
0.5000 0.5000 0.5000
```



DFT (GGA-PBEsol) results for a geometry-optimized ScTl2Cd structure.

Properties
Symmetry: P4/mmm, No. 123
Magnetic moment (μB/cell): 0.00
Distance to the lowest polymorph of the same formula (eV/atom): 0.000
ΔH_f (0 K) (meV per atom): -212.7

Structure (POSCAR):
```
ScTl2Cd
1.0
4.5573 0.0000 0.0000
0.0000 4.5573 0.0000
0.0000 0.0000 4.3055
Sc Tl Cd
1 2 1
direct
0.0000 0.0000 0.0000
0.0000 0.5000 0.5000
0.5000 0.0000 0.5000
0.5000 0.5000 0.0000
```



DFT (GGA-PBEsol) results for a geometry-optimized Nb2HgSbC structure.

Properties
Symmetry: P4/mmm, No. 123
Magnetic moment (μB/cell): 0.00
Energy relative to the elements, uncorrected (eV per atom): 0.417

Structure (POSCAR):
```
Nb2HgSbC
1.0
4.4262 0.0000 0.0000
0.0000 4.4262 0.0000
0.0000 0.0000 4.3892
Nb Hg Sb C
2 1 1 1
direct
0.0000 0.5000 0.0000
0.5000 0.0000 0.0000
0.0000 0.0000 0.5000
0.5000 0.5000 0.5000
0.0000 0.0000 0.0000
```



DFT (GGA-PBEsol) results for a geometry-optimized BaPd2N structure.

Properties
Symmetry: I4_1/amd, No. 141
Magnetic moment (μB/cell): 0.00
Energy relative to the elements, uncorrected (eV per atom): -0.223

Structure (POSCAR):
```
BaPd2N
1.0
-2.5875 2.5875 6.2391
2.5875 -2.5875 6.2391
2.5875 2.5875 -6.2391
Ba Pd N
2 4 2
direct
0.3750 0.6250 0.7500
0.6250 0.3750 0.2500
0.0000 0.0000 0.0000
0.0000 0.0000 0.5000
0.0000 0.5000 0.0000
0.5000 0.0000 0.5000
0.1250 0.8750 0.2500
0.8750 0.1250 0.7500
```



DFT (GGA-PBEsol) results for a geometry-optimized MnCr structure.

Properties
Symmetry: C2/m, No. 12
Magnetic moment (μB/cell): 0.00
ΔH_f (0 K) (meV per atom): 73.5

Structure (POSCAR):
```
MnCr
1.0
4.3751 -1.3895 0.0000
4.3751 1.3895 0.0000
-1.8068 0.0000 5.2942
Mn Cr
3 3
direct
0.0000 0.0000 0.0000
0.3271 0.3271 0.1724
0.6729 0.6729 0.8276
0.0000 0.0000 0.5000
0.3379 0.3379 0.6672
0.6621 0.6621 0.3328
```